## Zr2ScO4 (PBE-GGA)

Data for Zr2ScO4 after structural relaxation.

```
Zr2ScO4
1.0
-3.8550 2.3358 4.5316
-1.4329 0.8608 -6.1691
-0.4603 -5.8183 2.6053
Sc O Zr
2 8 4
direct
0.0000 0.0000 0.0000
0.7500 0.5000 0.2500
0.6237 0.7527 0.3764
0.1264 0.2527 0.8737
0.1263 0.2527 0.3790
0.6237 0.2473 0.8710
0.6236 0.2473 0.3763
0.6210 0.7473 0.8737
0.1290 0.7527 0.3763
0.1263 0.7473 0.8736
0.3750 0.7500 0.6250
0.3750 0.7500 0.1250
0.3750 0.2500 0.6250
0.8750 0.2500 0.6250
```

Properties
- Calculated total energy: -63.35 eV/f.u.

## HoGaPbSe3 (PBE-GGA)

Data for HoGaPbSe3 after structural relaxation.

```
HoGaPbSe3
1.0
2.0810 -7.8095 0.0000
2.0810 7.8095 0.0000
0.0000 0.0000 10.9959
Se Pb Ga Ho
6 2 2 2
direct
0.5395 0.4605 0.7500
0.8749 0.1251 0.9779
0.4605 0.5395 0.2500
0.1251 0.8749 0.0221
0.1251 0.8749 0.4779
0.8749 0.1251 0.5221
0.7844 0.2157 0.7500
0.2157 0.7844 0.2500
0.1416 0.8584 0.7500
0.8584 0.1416 0.2500
0.5000 0.5000 0.0000
0.5000 0.5000 0.5000
```

Properties
- Calculated total energy: -27.25 eV/f.u.

## BaNb2 (PBE-GGA)

Data for BaNb2 after structural relaxation.

```
BaNb2
1.0
5.2128 -1.7253 2.3457
1.4847 1.6783 5.5346
0.1031 -4.0213 4.4127
Ba Nb
2 4
direct
0.2500 0.2500 0.2500
0.0000 0.0000 0.0000
0.1250 0.6250 0.6250
0.6250 0.1250 0.6250
0.6250 0.6250 0.1250
0.6250 0.6250 0.6250
```

Properties
- E above lowest polymorph: 0.00 eV/f.u.